(1)
First-principles (PBE) data for PmAgRh after structural relaxation, as listed in Alexandria.

Results
DFT total energy = -5.3845 eV/atom

Cell: 4.4821 4.4830 7.7305 Å, 90.02 89.99 60.00°
Closest atoms and distances in Å follow each position.
Atoms (fractional coordinates):
1 Ag 0.8894 0.7625 0.9849  3 Ag 2.64-2.65
2 Ag 0.5561 0.4292 0.0555  3 Ag 2.64-2.65
3 Pm 0.2229 0.0957 0.2924  6 Rh 3.11-3.15, 3 Ag 3.17
4 Pm 0.2226 0.0959 0.7479  6 Rh 3.11-3.15, 3 Ag 3.17
5 Rh 0.8894 0.7625 0.5255  3 Rh 2.59
6 Rh 0.5561 0.4291 0.5149  3 Rh 2.59

=====

(2)
First-principles (PBE) data for Pm3Ag2Rh2 after structural relaxation, as listed in Alexandria.

Results
DFT total energy = -5.3955 eV/atom

Cell: 4.0444 3.8456 10.7545 Å, 90.00 79.16 90.00°
Closest atoms and distances in Å follow each position.
Atoms (fractional coordinates):
1 Ag 0.5742 0.5000 0.8517  1 Rh 2.81, 1 Ag 3.13
2 Ag 0.4258 0.5000 0.1483  1 Rh 2.81, 1 Ag 3.13
3 Rh 0.7071 0.5000 0.5857  2 Rh 2.71, 1 Ag 2.81, 4 Pm 2.88
4 Rh 0.2929 0.5000 0.4143  2 Rh 2.71, 1 Ag 2.81, 4 Pm 2.88
5 Pm 0.0000 0.0000 0.0000  8 Ag 3.20
6 Pm 0.1730 0.0000 0.6539  6 Rh 2.88-3.18
7 Pm 0.8270 0.0000 0.3461  6 Rh 2.88-3.18

=====

(3)
First-principles (PBE) data for Pm12Ag6Rh after structural relaxation, as listed in Alexandria.

Results
DFT total energy = -4.4113 eV/atom

Cell: 8.2662 8.2662 8.2662 Å, 93.14 93.14 93.14°
Closest atoms and distances in Å follow each position.
Atoms (fractional coordinates):
1 Pm 0.0980 0.3212 0.9689  1 Rh 2.76
2 Pm 0.8038 0.5629 0.4578  4 Ag 3.14-3.28, 1 Pm 3.51
3 Pm 0.4578 0.8038 0.5629  4 Ag 3.14-3.28, 1 Pm 3.51
4 Pm 0.9689 0.0980 0.3212  1 Rh 2.76
5 Pm 0.3212 0.9689 0.0980  1 Rh 2.76
6 Pm 0.0311 0.9020 0.6788  1 Rh 2.76
7 Pm 0.1962 0.4371 0.5422  4 Ag 3.14-3.28, 1 Pm 3.51
8 Pm 0.9020 0.6788 0.0311  1 Rh 2.76
9 Pm 0.6788 0.0311 0.9020  1 Rh 2.76
10 Pm 0.5422 0.1962 0.4371  4 Ag 3.14-3.28, 1 Pm 3.51
11 Pm 0.5629 0.4578 0.8038  4 Ag 3.14-3.28, 1 Pm 3.51
12 Pm 0.4371 0.5422 0.1962  4 Ag 3.14-3.28, 1 Pm 3.51
13 Ag 0.3368 0.1372 0.7391  8 Pm 3.10-3.35
14 Ag 0.6632 0.8628 0.2609  8 Pm 3.10-3.35
15 Ag 0.2609 0.6632 0.8628  8 Pm 3.10-3.35
16 Ag 0.7391 0.3368 0.1372  8 Pm 3.10-3.35
17 Ag 0.1372 0.7391 0.3368  8 Pm 3.10-3.35
18 Ag 0.8628 0.2609 0.6632  8 Pm 3.10-3.35
19 Rh 0.0000 0.0000 0.0000  6 Pm 2.76

=====

(4)
First-principles (PBE) data for PmAgRh after structural relaxation, as listed in Alexandria.

Results
DFT total energy = -5.2191 eV/atom

Cell: 4.6654 4.6654 4.6654 Å, 60.00 60.00 60.00°
Closest atoms and distances in Å follow each position.
Atoms (fractional coordinates):
1 Pm 0.5000 0.5000 0.5000  4 Rh 2.86
2 Ag 0.0000 0.0000 0.0000  4 Rh 2.86
3 Rh 0.2500 0.2500 0.2500  4 Pm 2.86, 4 Ag 2.86

=====

(5)
First-principles (PBE) data for Pm4AgRh2 after structural relaxation, as listed in Alexandria.

Results
DFT total energy = -5.7173 eV/atom

Cell: 7.7785 7.7763 7.7640 Å, 108.85 108.84 110.79°
Closest atoms and distances in Å follow each position.
Atoms (fractional coordinates):
1 Pm 0.3936 0.1391 0.3803  2 Rh 2.77-2.91, 1 Ag 3.00
2 Pm 0.2632 0.5087 0.1195  2 Rh 2.77-2.91, 1 Ag 3.00
3 Pm 0.7588 0.0130 0.6197  2 Rh 2.78-2.91, 1 Ag 3.00
4 Pm 0.9887 0.6069 0.7477  2 Rh 2.77-2.91, 1 Ag 3.00
5 Pm 0.8569 0.7392 0.2474  2 Rh 2.78-2.91, 1 Ag 3.00
6 Pm 0.3891 0.1432 0.8802  2 Rh 2.77-2.91, 1 Ag 3.00
7 Pm 0.8595 0.2419 0.2527  2 Rh 2.78-2.91, 1 Ag 3.00
8 Pm 0.4911 0.6092 0.7523  2 Rh 2.78-2.91, 1 Ag 3.00
9 Rh 0.1244 0.2448 0.6194  4 Pm 2.78-2.91
10 Rh 0.4957 0.8746 0.1201  4 Pm 2.77-2.91
11 Rh 0.6255 0.5048 0.3803  4 Pm 2.77-2.91
12 Rh 0.7548 0.3754 0.8804  4 Pm 2.77-2.91
13 Ag 0.2491 0.7492 0.4997  5 Pm 3.00-3.36
14 Ag 0.9997 0.0000 0.0003  4 Pm 3.00

=====

(6)
First-principles (PBE) data for Pm4AgRh after structural relaxation, as listed in Alexandria.

Results
DFT total energy = -5.2659 eV/atom

Cell: 9.7851 9.7851 9.7851 Å, 60.00 60.00 60.00°
Closest atoms and distances in Å follow each position.
Atoms (fractional coordinates):
1 Pm 0.1866 0.8134 0.8134  2 Ag 3.31, 10 Pm 3.54-3.67, 2 Rh 3.54
2 Pm 0.8134 0.1866 0.1866  2 Ag 3.31, 10 Pm 3.54-3.67, 2 Rh 3.54
3 Pm 0.3982 0.3982 0.8053  3 Rh 2.89
4 Pm 0.9392 0.5608 0.9392  2 Rh 2.87
5 Pm 0.5608 0.9392 0.5608  2 Rh 2.87
6 Pm 0.1866 0.1866 0.8134  2 Ag 3.31, 10 Pm 3.54-3.67, 2 Rh 3.54
7 Pm 0.5608 0.9392 0.9392  2 Rh 2.87
8 Pm 0.5608 0.5608 0.9392  2 Rh 2.87
9 Pm 0.8134 0.1866 0.8134  2 Ag 3.31, 10 Pm 3.54-3.67, 2 Rh 3.54
10 Pm 0.9392 0.9392 0.5608  2 Rh 2.87
11 Pm 0.3982 0.3982 0.3982  3 Rh 2.89
12 Pm 0.8053 0.3982 0.3982  3 Rh 2.89
13 Pm 0.3982 0.8053 0.3982  3 Rh 2.89
14 Pm 0.1866 0.8134 0.1866  2 Ag 3.31, 10 Pm 3.54-3.67, 2 Rh 3.54
15 Pm 0.8134 0.8134 0.1866  2 Ag 3.31, 10 Pm 3.54-3.67, 2 Rh 3.54
16 Pm 0.9392 0.5608 0.5608  2 Rh 2.87
17 Rh 0.6073 0.6073 0.1781  6 Pm 2.87-2.89
18 Rh 0.6073 0.6073 0.6073  6 Pm 2.87-2.89
19 Rh 0.1781 0.6073 0.6073  6 Pm 2.87-2.89
20 Rh 0.6073 0.1781 0.6073  6 Pm 2.87-2.89
21 Ag 0.1686 0.4942 0.1686  3 Ag 3.19, 9 Pm 3.31-3.55
22 Ag 0.1686 0.1686 0.1686  3 Ag 3.19, 9 Pm 3.31-3.55
23 Ag 0.1686 0.1686 0.4942  3 Ag 3.19, 9 Pm 3.31-3.55
24 Ag 0.4942 0.1686 0.1686  3 Ag 3.19, 9 Pm 3.31-3.55

=====

Q: What is the formula in the sixth record?
A: Pm4AgRh

=====

Q: The highest DFT total energy belongs to which entry?
A: Pm12Ag6Rh

=====

Q: Look up the DFT total energy of the fifth one.
A: -5.7173 eV/atom

=====

Q: Which formula does entry 5 have?
A: Pm4AgRh2